Record 1
Tm2Lu2Tl5Ni2: optimized geometry, PBE.

Output
Spin magnetization = 0.00 μB/cell
E_tot = -4.06 eV per atom

Lattice parameters (Å, degrees): 7.8147 3.5222 9.5017 90.00 94.63 90.00
Last column: nearest neighbours and their distance in Å.
Element x y z (fractional)
1 Ni 0.4290 0.0000 0.3723  1 Ni 2.59, 2 Tm 2.75, 4 Lu 2.79
2 Lu 0.2982 0.5000 0.5651  4 Ni 2.79
3 Tl 0.3501 0.0000 0.8599  1 Ni 2.91, 1 Tl 3.14, 2 Tm 3.20
4 Lu 0.7018 0.5000 0.4349  4 Ni 2.79
5 Tm 0.3123 0.5000 0.1640  2 Ni 2.75
6 Tm 0.6877 0.5000 0.8360  2 Ni 2.75
7 Tl 0.9563 0.0000 0.6626  1 Ni 3.00, 2 Tl 3.20-3.22, 2 Tm 3.28, 2 Lu 3.32
8 Ni 0.5710 0.0000 0.6277  1 Ni 2.59, 2 Tm 2.75, 4 Lu 2.79
9 Tl 0.0000 0.0000 0.0000  4 Tl 3.14-3.20, 4 Tm 3.30
10 Tl 0.0437 0.0000 0.3374  1 Ni 3.00, 2 Tl 3.20-3.22, 2 Tm 3.28, 2 Lu 3.32
11 Tl 0.6499 0.0000 0.1401  1 Ni 2.91, 1 Tl 3.14, 2 Tm 3.20


Record 2
LuMgReMo: optimized geometry, PBE.

Output
Spin magnetization = 0.00 μB/cell
ΔE to the lowest computed polymorph = 0.011 eV per atom

Lattice parameters (Å, degrees): 4.6470 4.6470 4.6470 60.00 60.00 60.00
Last column: nearest neighbours and their distance in Å.
Element x y z (fractional)
1 Mo 0.2500 0.2500 0.2500  4 Re 2.85, 4 Lu 2.85
2 Re 0.5000 0.5000 0.5000  4 Mg 2.85, 4 Mo 2.85
3 Mg 0.7500 0.7500 0.7500  4 Re 2.85, 4 Lu 2.85
4 Lu 0.0000 0.0000 0.0000  4 Mg 2.85, 4 Mo 2.85


Record 3
GdMgZn: optimized geometry, PBE.

Output
Spin magnetization = 0.01 μB/cell
E_tot = -2.44 eV per atom

Lattice parameters (Å, degrees): 4.6914 4.6914 11.7379 90.00 90.00 120.00
Last column: nearest neighbours and their distance in Å.
Element x y z (fractional)
1 Zn 0.6667 0.3333 0.3048  6 Mg 2.98-3.03
2 Gd 0.3333 0.6667 0.8987  4 Zn 2.88-2.91
3 Gd 0.0000 0.0000 0.5482  4 Zn 2.98-3.04, 3 Mg 3.09
4 Mg 0.3333 0.6667 0.4206  1 Mg 2.61, 1 Zn 2.73
5 Mg 0.3333 0.6667 0.1986  1 Mg 2.61
6 Zn 0.0000 0.0000 0.8073  3 Mg 2.87, 4 Gd 2.91-3.04
7 Gd 0.0000 0.0000 0.0844  3 Mg 3.02, 1 Zn 3.25
8 Mg 0.6667 0.3333 0.7255  6 Zn 2.84-2.87
9 Zn 0.3333 0.6667 0.6536  4 Mg 2.73-2.84, 4 Gd 2.88-2.98


Record 4
Ta5Re: optimized geometry, PBE.

Output
Spin magnetization = 0.01 μB/cell
ΔE to the lowest computed polymorph = 0.034 eV per atom

Lattice parameters (Å, degrees): 5.3298 5.3298 8.8069 90.00 90.00 118.54
Last column: nearest neighbours and their distance in Å.
Element x y z (fractional)
1 Re 0.1661 0.8339 0.2500  6 Ta 2.61-2.72
2 Ta 0.8325 0.6553 0.7500  2 Re 2.61-2.72, 4 Ta 2.66-2.79
3 Re 0.8339 0.1661 0.7500  6 Ta 2.61-2.72
4 Ta 0.6553 0.8325 0.2500  2 Re 2.61-2.72, 4 Ta 2.66-2.79
5 Ta 0.3447 0.1675 0.7500  2 Re 2.61-2.72, 4 Ta 2.66-2.79
6 Ta 0.0000 0.0000 0.0000  2 Re 2.68, 4 Ta 2.73
7 Ta 0.0000 0.0000 0.5000  2 Re 2.68, 4 Ta 2.73
8 Ta 0.3333 0.6667 0.5600  13 Ta 3.10-3.35, 3 Re 3.13-3.20
9 Ta 0.6667 0.3333 0.4400  13 Ta 3.10-3.35, 3 Re 3.13-3.20
10 Ta 0.3333 0.6667 0.9400  13 Ta 3.10-3.35, 3 Re 3.13-3.20
11 Ta 0.1675 0.3447 0.2500  2 Re 2.61-2.72, 4 Ta 2.66-2.79
12 Ta 0.6667 0.3333 0.0600  13 Ta 3.10-3.35, 3 Re 3.13-3.20


Record 5
AlCoIrAu: optimized geometry, PBE.

Output
Spin magnetization = 1.39 μB/cell
ΔE to the lowest computed polymorph = 0.000 eV per atom

Lattice parameters (Å, degrees): 4.3457 4.3457 4.3457 60.00 60.00 60.00
Last column: nearest neighbours and their distance in Å.
Element x y z (fractional)
1 Au 0.5000 0.5000 0.5000  4 Ir 2.66, 4 Co 2.66
2 Al 0.0000 0.0000 0.0000  4 Co 2.66, 4 Ir 2.66
3 Ir 0.2500 0.2500 0.2500  4 Au 2.66, 4 Al 2.66
4 Co 0.7500 0.7500 0.7500  4 Al 2.66, 4 Au 2.66


Record 6
Ba2ZnAu2: optimized geometry, PBE.

Output
E_tot = -2.58 eV per atom

Lattice parameters (Å, degrees): 4.2783 4.2783 8.4795 90.00 90.00 90.00
Last column: nearest neighbours and their distance in Å.
Element x y z (fractional)
1 Au 0.0000 0.5000 0.5000  4 Au 3.03, 4 Ba 3.24
2 Ba 0.5000 0.5000 0.2131  4 Au 3.24, 4 Zn 3.52, 1 Ba 3.61
3 Ba 0.5000 0.5000 0.7869  4 Au 3.24, 4 Zn 3.52, 1 Ba 3.61
4 Zn 0.0000 0.0000 0.0000  8 Ba 3.52
5 Au 0.5000 0.0000 0.5000  4 Au 3.03, 4 Ba 3.24